The following is a DFT calculation (GGA-PBE) of a geometry-optimized Pm5Pr3Nd4 structure.

Lattice parameters (Å, degrees): 6.1103 8.7747 9.9443 106.06 72.11 69.62
Last column: nearest neighbours and their distance in Å.
Fractional coordinates of all 12 atoms:
1 Pr 0.4821 0.3094 0.7265  3 Pm 3.15-3.34, 2 Nd 3.34-3.49
2 Pr 0.0000 0.5000 0.5000  2 Pm 3.06
3 Pr 0.5179 0.6906 0.2735  3 Pm 3.15-3.34, 2 Nd 3.34-3.49
4 Pm 0.6248 0.9484 0.8021  2 Pr 3.34-3.57, 1 Pm 3.47, 2 Nd 3.74
5 Pm 0.3752 0.0516 0.1979  2 Pr 3.34-3.57, 1 Pm 3.47, 2 Nd 3.74
6 Pm 0.2166 0.4556 0.1111  4 Pr 3.31-3.59, 3 Nd 3.52-3.62
7 Pm 0.5000 0.5000 0.5000  4 Pr 3.06-3.15
8 Pm 0.7834 0.5444 0.8889  4 Pr 3.31-3.59, 3 Nd 3.52-3.62
9 Nd 0.8337 0.9554 0.3771  3 Pr 3.34-3.63, 3 Nd 3.72-3.73
10 Nd 0.8594 0.2236 0.0576  2 Nd 3.36-3.73, 1 Pr 3.49, 3 Pm 3.52-3.62
11 Nd 0.1406 0.7764 0.9424  2 Nd 3.36-3.73, 1 Pr 3.49, 3 Pm 3.52-3.62
12 Nd 0.1663 0.0446 0.6229  3 Pr 3.34-3.63, 3 Nd 3.72-3.73

magnetization: 0.00 μB/f.u.
final energy: -4.57 eV/atom
relative energy among the computed polymorphs: 0.186 eV per atom
symmetry: C2/m, No. 12